LiCoAgSe3 | GGA-PBE | optimized geometry

It has space group Cmcm (No. 63), with a = 3.504 Å, b = 12.982 Å, c = 9.983 Å, α = 90.00°, β = 90.00° and γ = 90.00°. The distinct sites, in fractional coordinates, are Li at (0.000, 0.212, 0.250), Co at (0.000, 0.500, 0.000), Ag at (0.000, 0.118, 0.750), Se at (0.000, 0.127, 0.501) and Se at (0.000, 0.445, 0.750).

Its calculated total energy is -3.97 eV/atom. The calculated volume comes out at 18.92 Å³ per atom.

---

Li2ZrZnIn2Pd2 | GGA-PBE | optimized geometry

It has space group P-4m2 (No. 115), with a = 4.560 Å, b = 4.560 Å, c = 6.570 Å, α = 90.00°, β = 90.00° and γ = 90.00°. The distinct sites, in fractional coordinates, are Li at (0.000, 0.500, 0.213), Zr at (0.000, 0.000, 0.500), Zn at (0.500, 0.500, 0.000), In at (0.000, 0.000, 0.000), In at (0.500, 0.500, 0.500) and Pd at (0.000, 0.500, 0.751).

Its calculated total energy is -4.15 eV/atom. The calculated volume comes out at 17.08 Å³ per atom.

---

Li3Mg2OsO6 | GGA-PBE | optimized geometry

It has space group C2/m (No. 12), with a = 5.150 Å, b = 8.906 Å, c = 5.116 Å, α = 90.00°, β = 109.77° and γ = 90.00°. The distinct sites, in fractional coordinates, are Li at (0.000, 0.000, 0.000), Li at (0.000, 0.333, 0.000), Mg at (0.000, 0.167, 0.500), Os at (0.000, 0.500, 0.500), O at (0.239, 0.339, 0.733) and O at (0.245, 0.500, 0.270).

Its calculated total energy is -6.13 eV/atom. The calculated volume comes out at 9.20 Å³ per atom.

---

HgTePO | GGA-PBE | optimized geometry

It has space group P4/nmm (No. 129, origin choice 2), with a = 4.034 Å, b = 4.034 Å, c = 9.131 Å, α = 90.00°, β = 90.00° and γ = 90.00°. The distinct sites, in fractional coordinates, are Hg at (0.250, 0.750, 0.000), Te at (0.250, 0.250, 0.370), P at (0.250, 0.250, 0.784) and O at (0.250, 0.750, 0.500).

Its calculated total energy is -3.21 eV/atom. The calculated volume comes out at 18.58 Å³ per atom. The energy above the most stable polymorph in this dataset comes out at 291 meV per atom.

---

NdSmTe | GGA-PBE | optimized geometry

It has space group F-43m (No. 216), with a = 7.332 Å, b = 7.332 Å, c = 7.332 Å, α = 90.00°, β = 90.00° and γ = 90.00°. The distinct sites, in fractional coordinates, are Nd at (0.000, 0.000, 0.000), Sm at (0.000, 0.000, 0.500) and Te at (0.250, 0.250, 0.250).

Its calculated total energy is -4.87 eV/atom. The calculated volume comes out at 32.85 Å³ per atom. The energy above the most stable polymorph in this dataset comes out at 0 meV per atom.

---

HfTeMo2 | GGA-PBE | optimized geometry

It has space group F-43m (No. 216), with a = 6.659 Å, b = 6.659 Å, c = 6.659 Å, α = 90.00°, β = 90.00° and γ = 90.00°. The distinct sites, in fractional coordinates, are Hf at (0.000, 0.000, 0.000), Te at (0.250, 0.250, 0.750), Mo at (0.000, 0.000, 0.500) and Mo at (0.250, 0.250, 0.250).

Its calculated total energy is -8.32 eV/atom. The calculated volume comes out at 18.45 Å³ per atom.

---

HfNiGeAu | GGA-PBE | optimized geometry

It has space group F-43m (No. 216), with a = 6.406 Å, b = 6.406 Å, c = 6.406 Å, α = 90.00°, β = 90.00° and γ = 90.00°. The distinct sites, in fractional coordinates, are Hf at (0.000, 0.000, 0.000), Ni at (0.000, 0.000, 0.500), Ge at (0.250, 0.250, 0.250) and Au at (0.250, 0.250, 0.750).

Its calculated total energy is -6.14 eV/atom. The calculated volume comes out at 16.43 Å³ per atom.

---

Cs2Be2Cd3 | GGA-PBE | optimized geometry

It has space group R3m (No. 160, hexagonal axes), with a = 4.5784 Å, b = 4.5784 Å, c = 36.0618 Å, α = 90.00°, β = 90.00° and γ = 120.00°. The distinct sites, in fractional coordinates, are Cs at (0.0000, 0.0000, 0.0000), Cs at (0.0000, 0.0000, 0.4335), Be at (0.0000, 0.0000, 0.1826), Be at (0.0000, 0.0000, 0.6032), Cd at (0.0000, 0.0000, 0.2573), Cd at (0.0000, 0.0000, 0.5359) and Cd at (0.0000, 0.0000, 0.8402).

Its calculated total energy is -1.30 eV/atom. The calculated volume comes out at 31.17 Å³ per atom.

---

LiGdPO | GGA-PBE | optimized geometry

It has space group P4/nmm (No. 129, origin choice 2), with a = 3.800 Å, b = 3.800 Å, c = 9.345 Å, α = 90.00°, β = 90.00° and γ = 90.00°. The distinct sites, in fractional coordinates, are Li at (0.250, 0.750, 0.000), Gd at (0.250, 0.250, 0.373), P at (0.250, 0.250, 0.820) and O at (0.250, 0.750, 0.500).

Its calculated total energy is -6.01 eV/atom. The calculated volume comes out at 16.87 Å³ per atom. The energy above the most stable polymorph in this dataset comes out at 0 meV per atom.

---

Rb2PdI4 | GGA-PBE | optimized geometry

It has space group Fmmm (No. 69), with a = 9.881 Å, b = 11.616 Å, c = 11.676 Å, α = 90.00°, β = 90.00° and γ = 90.00°. The distinct sites, in fractional coordinates, are Rb at (0.250, 0.250, 0.250), Pd at (0.000, 0.000, 0.000), I at (0.000, 0.000, 0.227) and I at (0.000, 0.228, 0.000).

Its calculated total energy is -2.86 eV/atom. The calculated volume comes out at 47.86 Å³ per atom.

---

LiZnBiPt | GGA-PBE | optimized geometry

It has space group F-43m (No. 216), with a = 6.568 Å, b = 6.568 Å, c = 6.568 Å, α = 90.00°, β = 90.00° and γ = 90.00°. The distinct sites, in fractional coordinates, are Li at (0.000, 0.000, 0.000), Zn at (0.000, 0.000, 0.500), Bi at (0.250, 0.250, 0.750) and Pt at (0.250, 0.250, 0.250).

Its calculated total energy is -3.54 eV/atom. The calculated volume comes out at 17.71 Å³ per atom. The energy above the most stable polymorph in this dataset comes out at 89 meV per atom.

---

TbFeSi2Os | GGA-PBE | optimized geometry

It has space group I-4m2 (No. 119), with a = 4.050 Å, b = 4.050 Å, c = 9.743 Å, α = 90.00°, β = 90.00° and γ = 90.00°. The distinct sites, in fractional coordinates, are Tb at (0.000, 0.000, 0.000), Fe at (0.000, 0.500, 0.250), Si at (0.000, 0.000, 0.372) and Os at (0.000, 0.500, 0.750).

Its calculated total energy is -7.69 eV/atom. The calculated volume comes out at 15.98 Å³ per atom.